The following is a DFT calculation (GGA+U) of a relaxed La2FeHO crystal.

Unit cell a=5.330 b=5.330 c=3.249 alpha=90.00 beta=90.00 gamma=90.00
Space group P4/mmm (No. 123)
Unique sites:
La  0.000  0.500  0.000 x2
Fe  0.000  0.000  0.500 x1
H  0.500  0.500  0.000 x1
O  0.500  0.500  0.500 x1

DFT total energy in eV per atom: -4.822
D(E_F) in states/eV per cell: 4.57
V in Å³/cell: 92
Crystal system: tetragonal